Record 1
DFT (SCAN) results for a PBEsol-optimized structure of Li4V2Fe3Cu3O16.

a b c (Å): 5.5872 5.7981 9.2497
angles (deg): 86.35 90.00 118.80
Last column: magnetic moment on the atom in μB.
Positions (direct):
Li 0.6649 0.3297 0.8984  0.00
Li 0.9902 0.9803 0.9936  0.00
Li 0.0039 0.0078 0.4892  0.00
Li 0.3490 0.6981 0.3969  0.00
V 0.6725 0.3450 0.4934  -0.11
V 0.3275 0.6550 0.9972  -0.15
Fe 0.8270 0.6540 0.2206  1.51
Fe 0.1716 0.8210 0.7138  1.54
Fe 0.6494 0.8210 0.7138  1.54
Cu 0.3379 0.1710 0.2108  -0.53
Cu 0.8332 0.1710 0.2108  -0.53
Cu 0.1655 0.3310 0.7117  0.78
O 0.3440 0.1580 0.5911  0.06
O 0.5328 0.0655 0.3493  -0.13
O 0.6815 0.3631 0.1192  -0.01
O 0.9869 0.9738 0.2960  -0.02
O 0.9867 0.9734 0.8007  0.14
O 0.8139 0.1580 0.5911  0.06
O 0.5476 0.5175 0.3592  0.03
O 0.9699 0.5175 0.3592  0.03
O 0.1586 0.3173 0.0779  -0.05
O 0.8375 0.6750 0.6084  0.06
O 0.0413 0.5318 0.8394  0.21
O 0.4906 0.5318 0.8394  0.21
O 0.3408 0.6815 0.6044  0.19
O 0.1461 0.7791 0.0900  0.01
O 0.4754 0.9508 0.8387  0.02
O 0.6329 0.7791 0.0900  0.01

Computed properties:
density of states at the Fermi level = 1.630 states/eV/f.u.
SG = Cm, No. 8
ΔE_f (raw) = -1.758 eV/atom



Record 2
DFT (SCAN) results for a PBEsol-optimized structure of LiFeCu2W.

a b c (Å): 4.3699 4.7294 4.7294
angles (deg): 90.00 90.00 90.00
Last column: magnetic moment on the atom in μB.
Positions (direct):
Li 0.5000 0.5000 0.5000  0.00
Cu 0.0000 0.0000 0.5000  -0.02
Cu 0.0000 0.5000 0.0000  -0.02
W 0.0000 0.0000 0.0000  -0.30
Fe 0.5000 0.0000 0.0000  1.96

Computed properties:
density of states at the Fermi level = 2.963 states/eV/f.u.
SG = P4/mmm, No. 123
formation energy from the elements = 131.8 kJ/mol of atoms



The highest density of states at the Fermi level belongs to which entry?
LiFeCu2W



Among the records above, which one has the lowest density of states at the Fermi level?
Li4V2Fe3Cu3O16